# 1
This record from Alexandria via LeMat-Bulk describes crystalline LaAsH2Ir at its relaxed geometry. The functional is PBE.

Properties
Its magnetization is 0.00 μB per formula unit. For the density of states at the Fermi level, the calculation gives 0.38 states/eV/atom. As for the symmetry: Pmm2 (25). The calculation puts the energy above the most stable polymorph in this dataset at 155.5 meV per atom. The raw total energy comes out at -5.541 eV per atom.

Lattice parameters (Å, degrees): 4.2658 4.2988 4.7690 90.00 90.00 90.00
Element x y z (fractional)
La 0.0000 0.0000 0.0000
As 0.0000 0.5000 0.5135
H 0.2812 0.5000 0.0660
H 0.7188 0.5000 0.0660
Ir 0.5000 0.5000 0.7823


# 2
This record from Alexandria via LeMat-Bulk describes crystalline LaAsH2Ir at its relaxed geometry. The functional is PBE.

Properties
Its magnetization is 0.00 μB per formula unit. For the density of states at the Fermi level, the calculation gives 0.40 states/eV/atom. As for the symmetry: Cm (8). The calculation puts the energy above the most stable polymorph in this dataset at 54.0 meV per atom. The raw total energy comes out at -5.642 eV per atom.

Lattice parameters (Å, degrees): 7.1689 4.2776 5.1608 90.00 107.27 90.00
Element x y z (fractional)
La 0.0000 0.0000 0.0000
La 0.5000 0.5000 0.0000
As 0.2477 0.0000 0.6262
As 0.7477 0.5000 0.6262
H 0.1915 0.5000 0.2710
H 0.3791 0.0000 0.1830
H 0.6915 0.0000 0.2710
H 0.8791 0.5000 0.1830
Ir 0.0544 0.5000 0.4822
Ir 0.5544 0.0000 0.4822


# 3
This record from Alexandria via LeMat-Bulk describes crystalline LaAsH2Ir at its relaxed geometry. The functional is PBE.

Properties
Its magnetization is 0.00 μB per formula unit. For the density of states at the Fermi level, the calculation gives 0.44 states/eV/atom. As for the symmetry: P1 (1). The calculation puts the energy above the most stable polymorph in this dataset at 56.8 meV per atom. The raw total energy comes out at -5.639 eV per atom.

Lattice parameters (Å, degrees): 4.1942 4.2308 5.4402 69.03 67.70 60.55
Element x y z (fractional)
La 0.0000 0.0000 0.0000
As 0.2145 0.2129 0.3631
H 0.0758 0.5832 0.7392
H 0.6124 0.5933 0.7367
Ir 0.4959 0.4984 0.5211


# 4
This record from Alexandria via LeMat-Bulk describes crystalline LaAsH2Ir at its relaxed geometry. The functional is PBE.

Properties
Its magnetization is 0.00 μB per formula unit. For the density of states at the Fermi level, the calculation gives 0.17 states/eV/atom. As for the symmetry: Cm (8). The calculation puts the energy above the most stable polymorph in this dataset at 71.9 meV per atom. The raw total energy comes out at -5.624 eV per atom.

Lattice parameters (Å, degrees): 8.2988 4.4712 4.0255 90.00 93.64 90.00
Element x y z (fractional)
La 0.0000 0.0000 0.0000
La 0.5000 0.5000 0.0000
As 0.3034 0.0000 0.5528
As 0.8034 0.5000 0.5528
H 0.1929 0.5000 0.9974
H 0.4968 0.0000 0.3095
H 0.6929 0.0000 0.9974
H 0.9968 0.5000 0.3095
Ir 0.1963 0.5000 0.4296
Ir 0.6963 0.0000 0.4296


Which of these has the lowest raw total energy? number 2


magnetization of number 4 (LaAsH2Ir)? 0.00 μB per formula unit


raw total energy of number 1 (LaAsH2Ir)? -5.541 eV per atom


What is the magnetization in the third record? 0.00 μB per formula unit